# Cu2BrO GGA-PBEsol relaxed
data_Cu2BrO
_chemical_formula_sum 'Cu4 Br2 O2'
_cell_length_a 6.242
_cell_length_b 6.242
_cell_length_c 6.242
_cell_angle_alpha 133.92
_cell_angle_beta 133.92
_cell_angle_gamma 67.21
_space_group_name_H-M_alt 'P 1'
_space_group_IT_number 1
_space_group_name_Hall 'P 1'
loop_
_atom_site_label
_atom_site_type_symbol
_atom_site_fract_x
_atom_site_fract_y
_atom_site_fract_z
Cu1 Cu 0.000 0.625 0.875
Cu2 Cu 0.375 0.250 0.375
Cu3 Cu 0.750 0.125 0.125
Cu4 Cu 0.875 0.000 0.625
Br1 Br 0.250 0.750 0.500
Br2 Br 0.500 0.500 0.000
O1 O 0.000 0.000 0.000
O2 O 0.750 0.250 0.500
# * uncorrected formation energy: -0.3494 eV per atom
# * total moment: 0.25 μB/f.u.
# * symmetry: I-42d, No. 122
# * VASP energy: -0.158 Ha/atom

# Ca2Hg GGA-PBEsol relaxed
data_Ca2Hg
_chemical_formula_sum 'Ca8 Hg4'
_cell_length_a 7.546
_cell_length_b 4.912
_cell_length_c 9.708
_cell_angle_alpha 90.00
_cell_angle_beta 90.00
_cell_angle_gamma 90.00
_space_group_name_H-M_alt 'P 1'
_space_group_IT_number 1
_space_group_name_Hall 'P 1'
loop_
_atom_site_label
_atom_site_type_symbol
_atom_site_fract_x
_atom_site_fract_y
_atom_site_fract_z
Ca1 Ca 0.028 0.250 0.179
Ca2 Ca 0.153 0.250 0.567
Ca3 Ca 0.347 0.750 0.067
Ca4 Ca 0.472 0.750 0.679
Ca5 Ca 0.528 0.250 0.321
Ca6 Ca 0.653 0.250 0.933
Ca7 Ca 0.847 0.750 0.433
Ca8 Ca 0.972 0.750 0.821
Hg1 Hg 0.243 0.250 0.881
Hg2 Hg 0.257 0.750 0.381
Hg3 Hg 0.743 0.250 0.619
Hg4 Hg 0.757 0.750 0.119
# * total moment: 0.00 μB/f.u.
# * symmetry: Pnma, No. 62
# * energy of formation: -1.4 eV per formula unit
# * VASP energy: -0.076 Ha/atom

# TlSnGe3 GGA-PBEsol relaxed
data_TlSnGe3
_chemical_formula_sum 'Tl1 Sn1 Ge3'
_cell_length_a 5.269
_cell_length_b 5.269
_cell_length_c 5.269
_cell_angle_alpha 90.00
_cell_angle_beta 90.00
_cell_angle_gamma 90.00
_space_group_name_H-M_alt 'P 1'
_space_group_IT_number 1
_space_group_name_Hall 'P 1'
loop_
_atom_site_label
_atom_site_type_symbol
_atom_site_fract_x
_atom_site_fract_y
_atom_site_fract_z
Tl1 Tl 0.000 0.000 0.000
Sn1 Sn 0.500 0.500 0.500
Ge1 Ge 0.000 0.500 0.500
Ge2 Ge 0.500 0.000 0.500
Ge3 Ge 0.500 0.500 0.000
# * total moment: 0.00 μB/f.u.
# * symmetry: Pm-3m, No. 221
# * energy of formation: 3.9 eV per formula unit
# * VASP energy: -0.131 Ha/atom

| no. | N(E_F) (states/eV/cell) |
| --- | --- |
| 1 | 8.0 |
| 2 | 11.7 |
| 3 | 4.0 |